The following is a GGA-PBE calculation of an optimized crystal structure of CePuPb2, from Alexandria via LeMat-Bulk.

Values from the calculation:
- DFT formation energy: -0.189 eV per atom
- Energy relative to the lowest polymorph listed for this composition: 106 meV/atom

Structure (extended XYZ):
```
4
Lattice="0.0000 3.9013 3.9013 3.9013 0.0000 3.9013 3.9013 3.9013 0.0000" Properties=species:S:1:pos:R:3 pbc="T T T"
Ce 0.0000 0.0000 0.0000
Pu 3.9013 3.9013 3.9013
Pb 1.9506 1.9506 1.9506
Pb 5.8519 5.8519 5.8519
```

The following is a GGA-PBE calculation of an optimized crystal structure of Ce6PuPb2, from Alexandria via LeMat-Bulk.

Values from the calculation:
- DFT formation energy: -0.317 eV per atom
- Energy relative to the lowest polymorph listed for this composition: 97 meV/atom

Structure (extended XYZ):
```
18
Lattice="6.5977 0.0000 0.0000 0.0000 9.3680 0.0000 -4.6334 0.0000 8.4795" Properties=species:S:1:pos:R:3 pbc="T T T"
Ce -1.2508 1.0527 4.0061
Ce -3.5675 3.6313 8.2459
Ce -2.2213 6.9108 7.9220
Ce 0.0954 7.1412 3.6823
Ce 1.3281 0.3994 1.8430
Ce -0.9886 4.2846 6.0828
Ce 2.9529 5.0834 2.3967
Ce 0.6362 8.9686 6.6365
Ce 1.8689 2.2268 4.7972
Ce 4.1856 2.4572 0.5575
Ce 5.5318 5.7367 0.2336
Ce 3.2151 8.3154 4.4734
Pu 0.9821 0.0000 4.2397
Pu 3.2989 4.6840 0.0000
Pb -2.6006 0.7862 7.0603
Pb -0.2839 3.8978 2.8206
Pb 2.2482 5.4702 5.6589
Pb 4.5649 8.5818 1.4192
```

The following is a GGA-PBE calculation of an optimized crystal structure of Ce6PuPb5, from Alexandria via LeMat-Bulk.

Values from the calculation:
- DFT formation energy: -0.310 eV per atom

Structure (extended XYZ):
```
12
Lattice="8.2684 -4.4448 0.0000 8.2684 4.4448 0.0000 -1.4710 0.0000 4.7437" Properties=species:S:1:pos:R:3 pbc="T T T"
Ce 4.9272 2.2375 1.5640
Ce 8.2684 2.3660 0.0000
Ce 10.1386 2.2375 3.1796
Ce 4.9272 -2.2375 1.5640
Ce 8.2684 -2.3660 0.0000
Ce 10.1386 -2.2375 3.1796
Pu -0.7355 0.0000 2.3718
Pb 2.4151 0.0000 0.7495
Pb 4.3874 0.0000 3.9948
Pb 7.5329 0.0000 2.3718
Pb 10.6784 0.0000 0.7488
Pb 12.6507 0.0000 3.9942
```

The following is a GGA-PBE calculation of an optimized crystal structure of CePuSbPb, from Alexandria via LeMat-Bulk.

Values from the calculation:
- E: -7.43 eV/atom

Structure (extended XYZ):
```
4
Lattice="0.0000 3.8497 3.8497 3.8497 0.0000 3.8497 3.8497 3.8497 0.0000" Properties=species:S:1:pos:R:3 pbc="T T T"
Ce 0.0000 0.0000 0.0000
Pu 3.8497 3.8497 3.8497
Sb 5.7745 5.7745 5.7745
Pb 1.9248 1.9248 1.9248
```

The following is a GGA-PBE calculation of an optimized crystal structure of Ce5PuSnPb2, from Alexandria via LeMat-Bulk.

Values from the calculation:
- DFT formation energy: -0.284 eV per atom

Structure (extended XYZ):
```
18
Lattice="-4.3411 4.3411 6.7468 4.3411 -4.3411 6.7468 4.3411 4.3411 -6.7468" Properties=species:S:1:pos:R:3 pbc="T T T"
Ce 0.0000 0.0000 0.0000
Ce 5.9656 1.6244 -2.1503
Ce 1.6244 2.7167 -2.1503
Ce 5.9656 1.6244 2.1503
Ce 1.6244 2.7167 2.1503
Ce 0.0000 0.0000 6.7468
Ce 2.7167 1.6244 4.5965
Ce -1.6244 2.7167 4.5965
Ce 2.7167 1.6244 8.8971
Ce -1.6244 2.7167 8.8971
Pu 4.3411 0.0000 3.3734
Pu 0.0000 4.3411 3.3734
Sn 0.0000 0.0000 3.3734
Sn 0.0000 0.0000 10.1202
Pb 3.2684 1.0728 0.0000
Pb 3.2684 -1.0728 6.7468
Pb 1.0728 5.4139 0.0000
Pb 1.0728 3.2684 6.7468
```

The following is a GGA-PBE calculation of an optimized crystal structure of CePuTePb, from Alexandria via LeMat-Bulk.

Values from the calculation:
- E: -7.34 eV/atom

Structure (extended XYZ):
```
4
Lattice="0.0000 3.8550 3.8550 3.8550 0.0000 3.8550 3.8550 3.8550 0.0000" Properties=species:S:1:pos:R:3 pbc="T T T"
Ce 0.0000 0.0000 0.0000
Pu 3.8550 3.8550 3.8550
Te 5.7824 5.7824 5.7824
Pb 1.9275 1.9275 1.9275
```

The following is a GGA-PBE calculation of an optimized crystal structure of CeTmPuPb, from Alexandria via LeMat-Bulk.

Values from the calculation:
- DFT formation energy: -0.025 eV per atom

Structure (extended XYZ):
```
4
Lattice="0.0000 3.7889 3.7889 3.7889 0.0000 3.7889 3.7889 3.7889 0.0000" Properties=species:S:1:pos:R:3 pbc="T T T"
Ce 0.0000 0.0000 0.0000
Tm 5.6834 5.6834 5.6834
Pu 1.8945 1.8945 1.8945
Pb 3.7889 3.7889 3.7889
```

The following is a GGA-PBE calculation of an optimized crystal structure of RbCePb2, from Alexandria via LeMat-Bulk.

Values from the calculation:
- DFT formation energy: -0.228 eV per atom
- Energy relative to the lowest polymorph listed for this composition: 0 meV/atom

Structure (extended XYZ):
```
4
Lattice="4.2833 0.0000 0.0000 0.0000 4.2833 0.0000 0.0000 0.0000 8.2507" Properties=species:S:1:pos:R:3 pbc="T T T"
Rb 0.0000 0.0000 0.0000
Ce 0.0000 0.0000 4.1254
Pb 2.1417 2.1417 2.5862
Pb 2.1417 2.1417 5.6645
```

The following is a GGA-PBE calculation of an optimized crystal structure of RbCePb2, from Alexandria via LeMat-Bulk.

Values from the calculation:
- DFT formation energy: -0.021 eV per atom
- Energy relative to the lowest polymorph listed for this composition: 207 meV/atom

Structure (extended XYZ):
```
4
Lattice="2.6452 1.5272 7.1270 -2.6452 1.5272 7.1270 0.0000 -3.0545 7.1270" Properties=species:S:1:pos:R:3 pbc="T T T"
Rb 0.0000 0.0000 0.0000
Ce 0.0000 0.0000 10.6905
Pb 0.0000 0.0000 4.6052
Pb 0.0000 0.0000 16.7758
```

The following is a GGA-PBE calculation of an optimized crystal structure of RbCePb, from Alexandria via LeMat-Bulk.

Values from the calculation:
- DFT formation energy: -0.186 eV per atom

Structure (extended XYZ):
```
6
Lattice="2.8859 -2.8844 0.0000 2.8859 2.8844 0.0000 -0.2274 0.0000 14.6127" Properties=species:S:1:pos:R:3 pbc="T T T"
Rb 1.2227 0.0000 5.0270
Rb 4.3218 0.0000 9.5857
Ce 1.2038 0.0000 0.7177
Ce 4.3407 0.0000 13.8951
Pb 1.4647 0.0000 12.1150
Pb 4.0798 0.0000 2.4978
```

The following is a GGA-PBE calculation of an optimized crystal structure of RbCePb4, from Alexandria via LeMat-Bulk.

Values from the calculation:
- DFT formation energy: -0.105 eV per atom

Structure (extended XYZ):
```
6
Lattice="0.0000 4.6913 4.6913 4.6913 0.0000 4.6913 4.6913 4.6913 0.0000" Properties=species:S:1:pos:R:3 pbc="T T T"
Rb 0.0000 0.0000 0.0000
Ce 2.3457 2.3457 2.3457
Pb 5.8499 3.5328 3.5328
Pb 3.5328 5.8499 3.5328
Pb 3.5328 3.5328 5.8499
Pb 5.8499 5.8499 5.8499
```

The following is a GGA-PBE calculation of an optimized crystal structure of RbCe4Pb5, from Alexandria via LeMat-Bulk.

Values from the calculation:
- DFT formation energy: -0.325 eV per atom

Structure (extended XYZ):
```
10
Lattice="4.2231 0.0000 0.0000 0.0000 4.2231 0.0000 0.0000 0.0000 18.3124" Properties=species:S:1:pos:R:3 pbc="T T T"
Rb 0.0000 0.0000 0.0000
Ce 0.0000 0.0000 4.2272
Ce 0.0000 0.0000 7.4802
Ce 0.0000 0.0000 10.8321
Ce 0.0000 0.0000 14.0851
Pb 2.1115 2.1115 2.5923
Pb 2.1115 2.1115 5.8126
Pb 2.1115 2.1115 9.1562
Pb 2.1115 2.1115 12.4997
Pb 2.1115 2.1115 15.7201
```

The following is a GGA-PBE calculation of an optimized crystal structure of RbCePb2, from Alexandria via LeMat-Bulk.

Values from the calculation:
- DFT formation energy: -0.096 eV per atom
- Energy relative to the lowest polymorph listed for this composition: 133 meV/atom

Structure (extended XYZ):
```
4
Lattice="6.2713 0.0000 0.0000 0.0000 6.2713 0.0000 0.0000 0.0000 3.4399" Properties=species:S:1:pos:R:3 pbc="T T T"
Rb 0.0000 0.0000 0.0000
Ce 3.1357 3.1357 0.0000
Pb 0.0000 3.1357 1.7199
Pb 3.1357 0.0000 1.7199
```

The following is a GGA-PBE calculation of an optimized crystal structure of Rb2Ce3PbS8, from Alexandria via LeMat-Bulk.

Values from the calculation:
- E: -5.49 eV/atom

Structure (extended XYZ):
```
14
Lattice="4.1650 2.4047 7.8966 -4.1650 2.4047 7.8966 0.0000 -4.8093 7.8966" Properties=species:S:1:pos:R:3 pbc="T T T"
Rb 0.0000 0.0000 0.0000
Rb 0.0000 0.0000 8.6459
Ce 0.0000 -2.4381 12.6421
Ce -2.1114 1.2190 12.6421
Ce 2.1114 1.2190 12.6421
Pb 0.0000 0.0000 17.9991
S 0.0000 -2.1562 6.1222
S -1.8673 1.0781 6.1222
S 0.0000 0.0000 3.2972
S -1.9826 -1.1447 11.1453
S 1.8673 1.0781 6.1222
S 0.0000 0.0000 13.9891
S 1.9826 -1.1447 11.1453
S 0.0000 2.2893 11.1453
```

The following is a GGA-PBE calculation of an optimized crystal structure of Rb3CePb2S6, from Alexandria via LeMat-Bulk.

Values from the calculation:
- E: -4.51 eV/atom

Structure (extended XYZ):
```
12
Lattice="3.6744 -6.3602 0.0000 3.6744 6.3602 0.0000 -2.4418 0.0000 7.6744" Properties=species:S:1:pos:R:3 pbc="T T T"
Rb 0.0000 0.0000 0.0000
Rb 3.6744 2.1978 0.0000
Rb 3.6744 -2.1978 0.0000
Ce 2.4535 0.0000 3.8372
Pb 2.4535 4.2500 3.8372
Pb 2.4535 -4.2500 3.8372
S 1.2976 2.0002 2.3139
S 0.1499 0.0000 5.3745
S 1.2976 -2.0002 2.3139
S 3.6093 2.0002 5.3605
S 4.7570 0.0000 2.3000
S 3.6093 -2.0002 5.3605
```

The following is a GGA-PBE calculation of an optimized crystal structure of Rb3Ce2PbS6, from Alexandria via LeMat-Bulk.

Values from the calculation:
- E: -5.11 eV/atom

Structure (extended XYZ):
```
12
Lattice="3.6892 -6.3862 0.0000 3.6892 6.3862 0.0000 -2.4567 0.0000 7.6341" Properties=species:S:1:pos:R:3 pbc="T T T"
Rb 0.0000 0.0000 0.0000
Rb 3.6892 2.0475 0.0000
Rb 3.6892 -2.0475 0.0000
Ce 2.4608 4.2504 3.8171
Ce 2.4608 -4.2504 3.8171
Pb 2.4608 0.0000 3.8171
S 1.1516 2.2630 2.3124
S -0.1498 0.0000 5.3072
S 1.1516 -2.2630 2.3124
S 3.7699 2.2630 5.3217
S 5.0714 0.0000 2.3269
S 3.7699 -2.2630 5.3217
```

The following is a GGA-PBE calculation of an optimized crystal structure of Rb2CePbS4, from Alexandria via LeMat-Bulk.

Values from the calculation:
- E: -4.83 eV/atom

Structure (extended XYZ):
```
8
Lattice="7.4091 0.0000 0.0000 0.0000 4.2579 0.0000 -2.4094 0.0000 7.6134" Properties=species:S:1:pos:R:3 pbc="T T T"
Rb 0.0000 0.0000 0.0000
Rb 3.7046 2.1290 0.0000
Ce -1.2047 2.1290 3.8067
Pb 2.4999 0.0000 3.8067
S -0.0974 0.0000 5.2781
S 1.0493 2.1290 2.2991
S 3.9505 2.1290 5.3142
S 5.0971 0.0000 2.3352
```

The following is a GGA-PBE calculation of an optimized crystal structure of Rb3Ce2PbSe6, from Alexandria via LeMat-Bulk.

Values from the calculation:
- E: -4.72 eV/atom

Structure (extended XYZ):
```
12
Lattice="3.8278 -6.6260 0.0000 3.8278 6.6260 0.0000 -2.5503 0.0000 7.9384" Properties=species:S:1:pos:R:3 pbc="T T T"
Rb 0.0000 0.0000 0.0000
Rb 3.8278 2.1299 0.0000
Rb 3.8278 -2.1299 0.0000
Ce 2.5526 4.4100 3.9692
Ce 2.5526 -4.4100 3.9692
Pb 2.5526 0.0000 3.9692
Se 1.2046 2.3303 2.3811
Se -0.1374 0.0000 5.5431
Se 1.2046 -2.3303 2.3811
Se 3.9006 2.3303 5.5573
Se 5.2426 0.0000 2.3953
Se 3.9006 -2.3303 5.5573
```

The following is a GGA-PBE calculation of an optimized crystal structure of Rb4Ce3PbSe8, from Alexandria via LeMat-Bulk.

Values from the calculation:
- E: -4.83 eV/atom

Structure (extended XYZ):
```
16
Lattice="4.4239 2.5541 7.9382 -4.4239 2.5541 7.9382 0.0000 -5.1083 7.9382" Properties=species:S:1:pos:R:3 pbc="T T T"
Rb 0.0000 0.0000 0.0000
Rb -2.2119 -1.2771 7.9382
Rb -2.2119 1.2771 15.8765
Rb 0.0000 2.5541 7.9382
Ce -4.4239 0.0000 11.9073
Ce -2.2119 1.2771 3.9691
Ce 2.2119 1.2771 3.9691
Pb 0.0000 0.0000 11.9074
Se -2.3095 -1.3334 13.4847
Se 0.0000 0.0000 5.5422
Se 0.0000 -2.6668 10.3300
Se -2.3095 1.3334 10.3300
Se 2.3095 -1.3334 13.4847
Se 0.0000 2.6668 13.4847
Se 0.0000 0.0000 18.2725
Se 2.3095 1.3334 10.3300
```

The following is a GGA-PBE calculation of an optimized crystal structure of CeRePb, from Alexandria via LeMat-Bulk.

Values from the calculation:
- DFT formation energy: 0.024 eV per atom

Structure (extended XYZ):
```
6
Lattice="6.0693 -2.3632 0.0000 6.0693 2.3632 0.0000 -0.7806 0.0000 5.1752" Properties=species:S:1:pos:R:3 pbc="T T T"
Ce 1.4556 0.0000 1.6171
Ce 9.9025 0.0000 3.5582
Re 1.7774 0.0000 4.5944
Re 9.5806 0.0000 0.5808
Pb 4.9954 0.0000 1.1460
Pb 6.3627 0.0000 4.0292
```